Here is an optimized crystal structure of BeCrOs from the Alexandria database. Energies are from PBE-GGA.

E above lowest polymorph: 62.2 meV/atom
Space group: I4mm

The structure in POSCAR format:
```
BeCrOs
1.0
4.560 -0.004 0.000
2.716 3.663 0.000
-3.638 -1.830 2.052
Cr Os Be
1 1 1
Cartesian
4.829 2.428 0.000
2.436 1.225 0.000
0.010 0.005 0.000
```

Here is an optimized crystal structure of Be2CrOs2 from the Alexandria database. Energies are from PBE-GGA.

E above lowest polymorph: 401.1 meV/atom
Space group: P4/mbm

The structure in POSCAR format:
```
Be2CrOs2
1.0
-3.001 -3.373 -4.604
4.717 1.463 -4.147
1.431 -2.358 0.795
Cr Os Be
2 4 4
Cartesian
0.000 0.000 0.000
0.858 -0.955 -4.375
2.964 0.057 -5.164
0.490 -1.932 -6.610
-1.249 -1.967 -3.586
1.225 0.022 -2.140
3.332 -0.736 -2.995
2.768 -2.132 -6.120
-0.186 -3.533 -4.960
0.378 -2.137 -1.835
```

no.,energy (eV/cell),formation enthalpy at 0 K (eV per formula unit)
1,-25.0,-0.4
2,-76.4,1.3